Record 1
This record from Alexandria via LeMat-Bulk describes crystalline Mg5Ag6Hg at its relaxed geometry. The functional is PBE-GGA.

Unit cell a=8.211 b=8.211 c=8.211 alpha=146.39 beta=132.40 gamma=59.53
Fractional positions:
Mg (0.000, 0.000, 0.000)
Mg (0.168, 0.668, 0.500)
Mg (0.338, 0.338, 0.000)
Mg (0.662, 0.662, 0.000)
Mg (0.832, 0.332, 0.500)
Ag (0.071, 0.828, 0.242)
Ag (0.234, 0.500, 0.734)
Ag (0.414, 0.172, 0.242)
Ag (0.586, 0.828, 0.758)
Ag (0.766, 0.500, 0.266)
Ag (0.929, 0.172, 0.758)
Hg (0.500, 0.000, 0.500)

Results
SG: Immm, No. 71
total DFT energy (no corrections): -0.08504 hartree per atom
magnetic moment: 0.000 μB per atom
mass density: 7.176 Mg/m³

Record 2
This record from Alexandria via LeMat-Bulk describes crystalline Mg5AgHg6 at its relaxed geometry. The functional is PBE-GGA.

Unit cell a=4.823 b=7.304 c=7.578 alpha=90.00 beta=108.10 gamma=90.00
Fractional positions:
Mg (0.000, 0.000, 0.000)
Mg (0.332, 0.000, 0.665)
Mg (0.340, 0.500, 0.680)
Mg (0.660, 0.500, 0.320)
Mg (0.668, 0.000, 0.335)
Ag (0.000, 0.500, 0.000)
Hg (0.169, 0.252, 0.338)
Hg (0.169, 0.748, 0.338)
Hg (0.500, 0.242, 0.000)
Hg (0.500, 0.758, 0.000)
Hg (0.831, 0.252, 0.662)
Hg (0.831, 0.748, 0.662)

Results
SG: P2/m, No. 10
total DFT energy (no corrections): -0.04514 hartree per atom
magnetic moment: 0.000 μB per atom
mass density: 9.379 Mg/m³

Record 3
This record from Alexandria via LeMat-Bulk describes crystalline Mg3AgHg2 at its relaxed geometry. The functional is PBE-GGA.

Unit cell a=4.939 b=14.706 c=3.354 alpha=90.00 beta=90.00 gamma=90.00
Fractional positions:
Mg (0.000, 0.000, 0.000)
Mg (0.000, 0.338, 0.000)
Mg (0.000, 0.662, 0.000)
Mg (0.500, 0.162, 0.000)
Mg (0.500, 0.500, 0.000)
Mg (0.500, 0.838, 0.000)
Ag (0.000, 0.500, 0.500)
Ag (0.500, 0.000, 0.500)
Hg (0.000, 0.166, 0.500)
Hg (0.000, 0.834, 0.500)
Hg (0.500, 0.334, 0.500)
Hg (0.500, 0.666, 0.500)

Results
SG: Cmmm, No. 65
total DFT energy (no corrections): -0.05875 hartree per atom
magnetic moment: 0.000 μB per atom
mass density: 7.933 Mg/m³

Record 4
This record from Alexandria via LeMat-Bulk describes crystalline Mg2AgHg at its relaxed geometry. The functional is PBE-GGA.

Unit cell a=3.010 b=5.270 c=11.729 alpha=90.00 beta=90.00 gamma=90.00
Fractional positions:
Mg (0.000, 0.000, 0.243)
Mg (0.000, 0.000, 0.757)
Mg (0.500, 0.500, 0.257)
Mg (0.500, 0.500, 0.743)
Ag (0.000, 0.000, 0.000)
Ag (0.500, 0.500, 0.500)
Hg (0.000, 0.000, 0.500)
Hg (0.500, 0.500, 0.000)

Results
SG: Immm, No. 71
total DFT energy (no corrections): -0.05300 hartree per atom
magnetic moment: 0.000 μB per atom
mass density: 6.373 Mg/m³

Record 5
This record from Alexandria via LeMat-Bulk describes crystalline MgAg2Hg at its relaxed geometry. The functional is PBE-GGA.

Unit cell a=3.080 b=3.080 c=8.188 alpha=90.00 beta=90.00 gamma=90.00
Fractional positions:
Mg (0.000, 0.000, 0.000)
Ag (0.500, 0.500, 0.234)
Ag (0.500, 0.500, 0.766)
Hg (0.000, 0.000, 0.500)

Results
SG: P4/mmm, No. 123
total DFT energy (no corrections): -0.07259 hartree per atom
magnetic moment: 0.000 μB per atom
mass density: 9.422 Mg/m³

Record 6
This record from Alexandria via LeMat-Bulk describes crystalline Mg2AgHg at its relaxed geometry. The functional is PBE-GGA.

Unit cell a=3.354 b=3.354 c=26.256 alpha=90.00 beta=90.00 gamma=120.00
Fractional positions:
Mg (0.000, 0.000, 0.249)
Mg (0.000, 0.000, 0.751)
Mg (0.333, 0.667, 0.418)
Mg (0.333, 0.667, 0.915)
Mg (0.667, 0.333, 0.085)
Mg (0.667, 0.333, 0.582)
Ag (0.000, 0.000, 0.500)
Ag (0.333, 0.667, 0.167)
Ag (0.667, 0.333, 0.833)
Hg (0.000, 0.000, 0.000)
Hg (0.333, 0.667, 0.667)
Hg (0.667, 0.333, 0.333)

Results
SG: R-3m, No. 166
total DFT energy (no corrections): -0.06190 hartree per atom
magnetic moment: 0.000 μB per atom
mass density: 6.955 Mg/m³